1.
Material: BaInPt2
Method: DFT, PBE-GGA
State: optimized geometry

Cell: 8.0930 5.2071 3.4133 Å, 89.77 65.38 129.83°
Closest atoms and distances in Å follow each position.
Element x y z (fractional)
Ba 0.0000 0.5000 0.5000  8 Pt 3.11-3.12, 2 Ba 3.41
In 0.5000 0.5000 0.0000  8 Pt 3.11-3.12, 2 In 3.41
Pt 0.0000 0.0000 0.0000  4 In 3.11-3.12, 4 Ba 3.11-3.12, 2 Pt 3.41
Pt 0.5000 0.0000 0.5000  4 Ba 3.11-3.12, 4 In 3.11-3.12, 2 Pt 3.41

Space-group type: No. 12
DFT formation energy: -0.28 eV per atom

2.
Material: BaIn4Pt4
Method: DFT, PBE-GGA
State: optimized geometry

Cell: 5.3279 9.2114 9.2114 Å, 90.00 90.00 90.00°
Closest atoms and distances in Å follow each position.
Element x y z (fractional)
In 0.4154 0.6344 0.1185  5 Pt 2.71-2.82
In 0.5846 0.1185 0.3656  5 Pt 2.71-2.82
In 0.0846 0.8656 0.3815  5 Pt 2.71-2.82
In 0.0846 0.1344 0.6185  5 Pt 2.71-2.82
In 0.9154 0.6185 0.8656  5 Pt 2.71-2.82
In 0.5846 0.8815 0.6344  5 Pt 2.71-2.82
In 0.4154 0.3656 0.8815  5 Pt 2.71-2.82
In 0.9154 0.3815 0.1344  5 Pt 2.71-2.82
Pt 0.5802 0.1784 0.6656  5 In 2.71-2.82, 1 Pt 2.73
Pt 0.0802 0.1656 0.3216  5 In 2.71-2.82, 1 Pt 2.73
Pt 0.4198 0.6656 0.8216  5 In 2.71-2.82, 1 Pt 2.73
Pt 0.9198 0.6784 0.1656  5 In 2.71-2.82, 1 Pt 2.73
Pt 0.0802 0.8344 0.6784  5 In 2.71-2.82, 1 Pt 2.73
Pt 0.9198 0.3216 0.8344  5 In 2.71-2.82, 1 Pt 2.73
Pt 0.4198 0.3344 0.1784  5 In 2.71-2.82, 1 Pt 2.73
Pt 0.5802 0.8216 0.3344  5 In 2.71-2.82, 1 Pt 2.73
Ba 0.5000 0.5000 0.5000  4 Pt 3.36, 4 In 3.75
Ba 0.0000 0.0000 0.0000  4 Pt 3.36, 4 In 3.75

Space-group type: No. 86
DFT formation energy: -0.55 eV per atom
E above lowest polymorph: 32.2 meV/atom

3.
Material: BaIn4Pt2
Method: DFT, PBE-GGA
State: optimized geometry

Cell: 4.6498 4.7599 8.3785 Å, 106.50 90.00 90.00°
Closest atoms and distances in Å follow each position.
Element x y z (fractional)
In 0.0000 0.3198 0.6397  2 Pt 2.79
In 0.0000 0.6802 0.3603  2 Pt 2.79
In 0.5000 0.1748 0.3497  2 Pt 2.79
In 0.5000 0.8252 0.6503  2 Pt 2.79
Pt 0.5000 0.4160 0.8320  1 Pt 2.70, 4 In 2.79
Pt 0.5000 0.5840 0.1680  1 Pt 2.70, 4 In 2.79
Ba 0.0000 0.0000 0.0000  8 Pt 3.59, 8 In 3.65-3.75

Space-group type: No. 65
DFT formation energy: -0.44 eV per atom
E above lowest polymorph: 139.5 meV/atom

| no. | DOS at the Fermi energy (states/eV per atom) |
| --- | --- |
| 1 | 0.3898 |
| 2 | 0.3971 |
| 3 | 0.5286 |